A relaxed SrHf2Co2 crystal. Source: Alexandria via LeMat-Bulk, functional GGA-PBE.

Unit cell a=7.880 b=7.880 c=3.187 alpha=90.00 beta=90.00 gamma=90.00
Fractional positions:
Sr1 0.000 0.000 0.000
Sr2 0.500 0.500 0.000
Hf1 0.139 0.361 0.500
Hf2 0.361 0.861 0.500
Hf3 0.639 0.139 0.500
Hf4 0.861 0.639 0.500
Co1 0.130 0.630 0.000
Co2 0.370 0.130 0.000
Co3 0.630 0.870 0.000
Co4 0.870 0.370 0.000

The value obtained for the formation energy is 0.09 eV/atom. As for the total DFT energy (no corrections): -7.07 eV per atom. Its volume is 19.8 A^3/atom. As for the total magnetization: 0.0 μB/f.u. The distance to the lowest polymorph of the same formula comes out at 0.74 eV/f.u.